## Cs2HgPt (PBE)

Data for Cs2HgPt after structural relaxation.

It has space group I-42d (No. 122), with a = 12.568 Å, b = 12.568 Å, c = 5.351 Å, α = 90.00°, β = 90.00° and γ = 90.00°. Symmetry generates all atoms from Cs at (0.084, 0.250, 0.125), Hg at (0.000, 0.000, 0.500) and Pt at (0.000, 0.000, 0.000).

The formation energy is -0.67 eV/f.u. Its size of the total moment is 0.00 μB/cell. For the volume, the calculation gives 52.825 Å³/atom. The value obtained for the total energy is -2.1793 eV/atom. Its offset from the most stable computed form is 28.4 meV per atom.